# 1
Computed, not measured: crystalline MgFeRe at its relaxed geometry at the PBE level of DFT.

Lattice parameters (Å, degrees): 4.047 4.047 4.047 60.00 60.00 60.00
Last column: magnetic moment on the atom in μB.
Fractional coordinates of all 3 atoms:
Fe 0.250 0.250 0.250  0.59
Mg 0.000 0.000 0.000  0.01
Re 0.500 0.500 0.500  -0.03

Results
E above lowest polymorph in meV/atom: 350
Space group: No. 216
ΔE_f in eV/atom: 0.5353



# 2
Computed, not measured: crystalline LiSb2 at its relaxed geometry at the PBE level of DFT.

Lattice parameters (Å, degrees): 7.723 7.723 4.092 90.00 90.00 120.00
Fractional coordinates of all 9 atoms:
Li 0.333 0.667 0.000
Li 0.667 0.333 0.000
Li 0.000 0.000 0.500
Sb 0.274 0.000 0.000
Sb 0.000 0.274 0.000
Sb 0.726 0.726 0.000
Sb 0.621 0.000 0.500
Sb 0.000 0.621 0.500
Sb 0.379 0.379 0.500

Results
E above lowest polymorph in meV/atom: 141
Space group: No. 189
Energy relative to the elements, uncorrected in eV/atom: -0.101



# 3
Computed, not measured: crystalline Pm3SmO6 at its relaxed geometry at the PBE level of DFT.

Lattice parameters (Å, degrees): 6.971 6.971 6.971 91.56 91.56 91.56
Fractional coordinates of all 20 atoms:
Pm 0.445 0.938 0.749
Pm 0.938 0.749 0.445
Pm 0.251 0.555 0.062
Pm 0.749 0.445 0.938
Pm 0.062 0.251 0.555
Pm 0.555 0.062 0.251
Sm 0.000 0.000 0.000
Sm 0.500 0.500 0.500
O 0.315 0.904 0.068
O 0.096 0.932 0.685
O 0.602 0.817 0.471
O 0.932 0.685 0.096
O 0.471 0.602 0.817
O 0.183 0.529 0.398
O 0.817 0.471 0.602
O 0.529 0.398 0.183
O 0.068 0.315 0.904
O 0.398 0.183 0.529
O 0.904 0.068 0.315
O 0.685 0.096 0.932

Results
E above lowest polymorph in meV/atom: 0
Space group: No. 148
Energy relative to the elements, uncorrected in eV/atom: -3.403



# 4
Computed, not measured: crystalline CeSc2TeO8 at its relaxed geometry at the PBE level of DFT.

Lattice parameters (Å, degrees): 4.820 4.820 6.731 90.00 90.00 90.85
Fractional coordinates of all 12 atoms:
Ce 0.000 0.000 0.500
Sc 0.500 0.500 0.756
Sc 0.500 0.500 0.244
Te 0.000 0.000 0.000
O 0.191 0.808 0.215
O 0.710 0.711 0.000
O 0.809 0.192 0.215
O 0.809 0.192 0.785
O 0.290 0.289 0.000
O 0.191 0.808 0.785
O 0.684 0.685 0.500
O 0.316 0.315 0.500

Results
Space group: No. 65
Energy relative to the elements, uncorrected in eV/atom: -2.630



# 5
Computed, not measured: crystalline HoPaAs at its relaxed geometry at the PBE level of DFT.

Lattice parameters (Å, degrees): 3.596 3.596 6.318 106.53 106.53 90.00
Fractional coordinates of all 3 atoms:
As 0.614 0.614 0.229
Pa 0.977 0.977 0.954
Ho 0.259 0.259 0.517

Results
E above lowest polymorph in meV/atom: 0
Space group: No. 107
ΔE_f in eV/atom: -0.4564



# 6
Computed, not measured: crystalline Cs2LiAgCl5 at its relaxed geometry at the PBE level of DFT.

Lattice parameters (Å, degrees): 4.413 10.375 13.137 90.00 90.00 102.28
Last column: magnetic moment on the atom in μB.
Fractional coordinates of all 18 atoms:
Cs 0.888 0.777 0.812  0.00
Cs 0.124 0.248 0.684  0.00
Cs 0.112 0.223 0.312  0.00
Cs 0.876 0.752 0.184  0.00
Li 0.774 0.548 0.476  0.00
Li 0.226 0.452 0.976  0.00
Ag 0.593 0.185 0.984  0.30
Ag 0.407 0.815 0.484  0.30
Cl 0.337 0.674 0.998  0.00
Cl 0.701 0.402 0.869  0.07
Cl 0.524 0.048 0.830  0.13
Cl 0.323 0.647 0.621  0.13
Cl 0.961 0.922 0.551  0.14
Cl 0.663 0.326 0.498  0.00
Cl 0.299 0.598 0.369  0.07
Cl 0.476 0.952 0.330  0.13
Cl 0.677 0.353 0.121  0.13
Cl 0.039 0.078 0.051  0.14

Results
Space group: No. 36
Energy relative to the elements, uncorrected in eV/atom: -1.372



# 7
Computed, not measured: crystalline Pr2Sm5Dy6 at its relaxed geometry at the PBE level of DFT.

Lattice parameters (Å, degrees): 3.609 11.778 20.538 90.00 90.00 90.00
Fractional coordinates of all 26 atoms:
Pr 0.000 0.328 0.282
Pr 0.000 0.672 0.718
Pr 0.000 0.828 0.218
Pr 0.000 0.172 0.782
Sm 0.500 0.300 0.447
Sm 0.500 0.700 0.553
Sm 0.500 0.800 0.053
Sm 0.500 0.200 0.947
Sm 0.500 0.588 0.279
Sm 0.500 0.412 0.721
Sm 0.500 0.088 0.221
Sm 0.500 0.912 0.779
Sm 0.500 0.500 0.000
Sm 0.500 0.000 0.500
Dy 0.000 0.076 0.365
Dy 0.000 0.924 0.635
Dy 0.000 0.576 0.135
Dy 0.000 0.424 0.865
Dy 0.500 0.319 0.127
Dy 0.500 0.681 0.873
Dy 0.500 0.819 0.373
Dy 0.500 0.181 0.627
Dy 0.000 0.560 0.423
Dy 0.000 0.440 0.577
Dy 0.000 0.060 0.077
Dy 0.000 0.940 0.923

Results
Space group: No. 55
ΔE_f in eV/atom: 0.0956



# 8
Computed, not measured: crystalline TcPO2F at its relaxed geometry at the PBE level of DFT.

Lattice parameters (Å, degrees): 3.713 3.713 4.942 90.00 90.00 90.00
Fractional coordinates of all 5 atoms:
P 0.000 0.000 0.500
Tc 0.000 0.000 0.000
O 0.000 0.500 0.000
O 0.500 0.000 0.000
F 0.500 0.500 0.500

Results
Space group: No. 123
Energy relative to the elements, uncorrected in eV/atom: -0.800



# 9
Computed, not measured: crystalline Cs5RbH at its relaxed geometry at the PBE level of DFT.

Lattice parameters (Å, degrees): 9.716 9.716 15.079 97.85 101.54 118.53
Fractional coordinates of all 14 atoms:
Cs 0.701 0.931 0.079
Cs 0.191 0.915 0.573
Cs 0.648 0.378 0.579
Cs 0.252 0.002 0.250
Cs 0.842 0.617 0.927
Cs 0.158 0.383 0.073
Cs 0.748 0.998 0.750
Cs 0.352 0.622 0.421
Cs 0.809 0.085 0.427
Cs 0.299 0.069 0.921
Rb 0.752 0.502 0.250
Rb 0.248 0.498 0.750
H 0.000 0.000 0.000
H 0.500 0.000 0.500

Results
Space group: No. 15



# 10
Computed, not measured: crystalline ScV2Ge at its relaxed geometry at the PBE level of DFT.

Lattice parameters (Å, degrees): 7.283 7.283 5.772 50.88 50.88 90.00
Fractional coordinates of all 8 atoms:
Sc 0.500 0.500 0.000
Sc 0.250 0.750 0.500
Ge 0.000 0.000 0.000
Ge 0.750 0.250 0.500
V 0.664 0.125 0.250
V 0.086 0.625 0.250
V 0.375 0.336 0.750
V 0.875 0.914 0.750

Results
Space group: No. 122
ΔE_f in eV/atom: 0.3121



# 11
Computed, not measured: crystalline NbAl3Tc at its relaxed geometry at the PBE level of DFT.

Lattice parameters (Å, degrees): 4.605 4.605 4.605 90.00 90.00 90.00
Last column: magnetic moment on the atom in μB.
Fractional coordinates of all 5 atoms:
Nb 0.500 0.500 0.500  1.49
Tc 0.000 0.000 0.000  0.00
Al 0.000 0.500 0.000  -0.02
Al 0.000 0.000 0.500  -0.03
Al 0.500 0.000 0.000  -0.01

Results
E above lowest polymorph in meV/atom: 0
Space group: No. 221
ΔE_f in eV/atom: 0.5337



# 12
Computed, not measured: crystalline Tm3Zn2Pb at its relaxed geometry at the PBE level of DFT.

Lattice parameters (Å, degrees): 3.675 5.081 15.255 90.00 90.00 90.00
Fractional coordinates of all 12 atoms:
Tm 0.500 0.500 0.675
Tm 0.500 0.000 0.500
Tm 0.500 0.500 0.325
Tm 0.500 0.000 0.175
Tm 0.500 0.500 0.000
Tm 0.500 0.000 0.825
Zn 0.000 0.000 0.671
Zn 0.000 0.000 0.329
Zn 0.000 0.500 0.171
Zn 0.000 0.500 0.829
Pb 0.000 0.500 0.500
Pb 0.000 0.000 0.000

Results
E above lowest polymorph in meV/atom: 24
Space group: No. 65
ΔE_f in eV/atom: -0.3415



# 13
Computed, not measured: crystalline TmLu3Tc at its relaxed geometry at the PBE level of DFT.

Lattice parameters (Å, degrees): 5.276 5.276 5.276 90.00 90.00 90.00
Fractional coordinates of all 5 atoms:
Lu 0.000 0.500 0.000
Lu 0.000 0.000 0.500
Lu 0.500 0.000 0.000
Tm 0.500 0.500 0.500
Tc 0.000 0.000 0.000

Results
Space group: No. 221
ΔE_f in eV/atom: 0.1292



# 14
Computed, not measured: crystalline Na3URh2Se6 at its relaxed geometry at the PBE level of DFT.

Lattice parameters (Å, degrees): 6.559 6.559 7.476 98.45 98.45 119.96
Last column: magnetic moment on the atom in μB.
Fractional coordinates of all 12 atoms:
Na 0.159 0.841 0.500  0.00
Na 0.841 0.159 0.500  0.00
Na 0.500 0.500 0.500  0.00
U 0.000 0.000 0.000  1.90
Rh 0.333 0.667 0.000  0.16
Rh 0.667 0.333 0.000  0.16
Se 0.929 0.568 0.790  -0.01
Se 0.708 0.708 0.209  -0.01
Se 0.071 0.432 0.210  -0.01
Se 0.568 0.929 0.790  -0.01
Se 0.292 0.292 0.791  -0.01
Se 0.432 0.071 0.210  -0.01

Results
Space group: No. 12
Energy relative to the elements, uncorrected in eV/atom: -0.864



# 15
Computed, not measured: crystalline MoCl3 at its relaxed geometry at the PBE level of DFT.

Lattice parameters (Å, degrees): 3.339 3.339 10.607 90.00 90.00 128.21
Last column: magnetic moment on the atom in μB.
Fractional coordinates of all 4 atoms:
Mo 0.500 0.500 0.250  0.91
Cl 0.000 0.000 0.069  0.02
Cl 0.500 0.500 0.750  -0.01
Cl 0.000 0.000 0.431  0.02

Results
E above lowest polymorph in meV/atom: 816
Space group: No. 65
Energy relative to the elements, uncorrected in eV/atom: -0.042



# 16
Computed, not measured: crystalline AlAg2Br at its relaxed geometry at the PBE level of DFT.

Lattice parameters (Å, degrees): 6.786 6.786 6.786 151.59 143.82 46.62
Fractional coordinates of all 4 atoms:
Br 0.307 0.807 0.500
Ag 0.022 0.022 0.000
Ag 0.675 0.175 0.500
Al 0.495 0.495 0.000

Results
E above lowest polymorph in meV/atom: 25
Space group: No. 44
Energy relative to the elements, uncorrected in eV/atom: 0.007



# 17
Computed, not measured: crystalline Pm4Si3SnPd12 at its relaxed geometry at the PBE level of DFT.

Lattice parameters (Å, degrees): 8.159 8.159 8.159 109.47 109.47 109.47
Fractional coordinates of all 20 atoms:
Pm 0.500 0.500 0.500
Pm 0.000 0.000 0.500
Pm 0.500 0.000 0.000
Pm 0.000 0.500 0.000
Si 0.500 0.000 0.500
Si 0.500 0.500 0.000
Si 0.000 0.500 0.500
Sn 0.000 0.000 0.000
Pd 0.250 0.500 0.750
Pd 0.734 0.000 0.734
Pd 0.266 0.000 0.266
Pd 0.750 0.500 0.250
Pd 0.734 0.734 0.000
Pd 0.266 0.266 0.000
Pd 0.750 0.250 0.500
Pd 0.250 0.750 0.500
Pd 0.500 0.250 0.750
Pd 0.000 0.734 0.734
Pd 0.500 0.750 0.250
Pd 0.000 0.266 0.266

Results
Space group: No. 229
Energy relative to the elements, uncorrected in eV/atom: -0.529



# 18
Computed, not measured: crystalline CoHg2Cl at its relaxed geometry at the PBE level of DFT.

Lattice parameters (Å, degrees): 6.845 6.845 6.845 154.35 138.81 49.15
Last column: magnetic moment on the atom in μB.
Fractional coordinates of all 4 atoms:
Co 0.268 0.768 0.500  1.74
Hg 0.081 0.081 0.000  0.02
Hg 0.740 0.240 0.500  -0.01
Cl 0.410 0.410 0.000  0.10

Results
E above lowest polymorph in meV/atom: 89
Space group: No. 44
Energy relative to the elements, uncorrected in eV/atom: 0.070



# 19
Computed, not measured: crystalline Rb2GaHCl6 at its relaxed geometry at the PBE level of DFT.

Lattice parameters (Å, degrees): 7.591 7.591 7.300 121.59 121.58 89.57
Fractional coordinates of all 10 atoms:
Rb 0.751 0.251 0.501
Rb 0.251 0.751 0.501
Ga 0.040 0.040 0.080
H 0.549 0.550 0.099
Cl 0.779 0.779 0.985
Cl 0.680 0.681 0.361
Cl 0.206 0.206 0.984
Cl 0.775 0.201 0.975
Cl 0.269 0.269 0.537
Cl 0.201 0.775 0.975

Results
E above lowest polymorph in meV/atom: 0
Space group: No. 42



# 20
Computed, not measured: crystalline SbRh2Pb at its relaxed geometry at the PBE level of DFT.

Lattice parameters (Å, degrees): 5.617 5.617 4.333 90.01 90.01 34.27
Fractional coordinates of all 4 atoms:
Sb 0.486 0.486 0.375
Rh 0.035 0.035 0.875
Rh 0.206 0.206 0.375
Pb 0.772 0.772 0.875

Results
E above lowest polymorph in meV/atom: 177
Space group: No. 38
Energy relative to the elements, uncorrected in eV/atom: -0.150



Number 1: total magnetization 0.6 μB per formula unit, DFT total energy -20.900 eV per formula unit. Number 2: total magnetization 0.0 μB per formula unit, DFT total energy -10.462 eV per formula unit. Number 3: total magnetization 0.0 μB per formula unit, DFT total energy -82.753 eV per formula unit. Number 4: total magnetization 0.0 μB per formula unit, DFT total energy -92.970 eV per formula unit. Number 5: total magnetization 0.0 μB per formula unit, DFT total energy -20.092 eV per formula unit. Number 6: total magnetization 0.9 μB per formula unit, DFT total energy -28.050 eV per formula unit. Number 7: total magnetization 0.0 μB per formula unit, DFT total energy -59.525 eV per formula unit. Number 8: total magnetization 0.0 μB per formula unit, DFT total energy -31.562 eV per formula unit. Number 9: total magnetization 0.0 μB per formula unit, DFT total energy -8.585 eV per formula unit. Number 10: total magnetization 0.0 μB per formula unit, DFT total energy -27.938 eV per formula unit. Number 11: total magnetization 1.7 μB per formula unit, DFT total energy -28.995 eV per formula unit. Number 12: total magnetization 0.0 μB per formula unit, DFT total energy -21.720 eV per formula unit. Number 13: total magnetization 0.0 μB per formula unit, DFT total energy -27.755 eV per formula unit. Number 14: total magnetization 2.4 μB per formula unit, DFT total energy -61.225 eV per formula unit. Number 15: total magnetization 1.1 μB per formula unit, DFT total energy -16.539 eV per formula unit. Number 16: total magnetization 0.0 μB per formula unit, DFT total energy -11.089 eV per formula unit. Number 17: total magnetization 0.0 μB per formula unit, DFT total energy -112.169 eV per formula unit. Number 18: total magnetization 1.8 μB per formula unit, DFT total energy -9.276 eV per formula unit. Number 19: total magnetization 0.0 μB per formula unit, DFT total energy -32.878 eV per formula unit. Number 20: total magnetization 0.0 μB per formula unit, DFT total energy -23.135 eV per formula unit.